DFT (GGA+U) results for a relaxed NaFeW2O8 crystal.

Lattice parameters (Å, degrees): 7.082 7.082 6.473 90.00 90.00 90.00
Space group I-4m2 (No. 119)
One atom of each set of equivalent atoms:
Na1 0.000 0.000 0.000 [2 per cell]
Fe1 0.000 0.500 0.750 [2 per cell]
W1 0.000 0.000 0.500 [2 per cell]
W2 0.000 0.500 0.250 [2 per cell]
O1 0.000 0.213 0.658 [8 per cell]
O2 0.000 0.305 0.069 [8 per cell]

Energy relative to the lowest polymorph listed for this composition = 0.253 eV per atom